No. 1
# PmTh2IrN4 (GGA-PBE, optimized geometry)
data_PmTh2IrN4
_chemical_formula_sum 'Pm4 Th8 Ir4 N16'
_space_group_name_H-M_alt 'C m c m'
_space_group_IT_number 63
_space_group_name_Hall '-C 2c 2'
_cell_length_a 3.463
_cell_length_b 12.165
_cell_length_c 12.126
_cell_angle_alpha 90.00
_cell_angle_beta 90.00
_cell_angle_gamma 90.00
loop_
_atom_site_label
_atom_site_type_symbol
_atom_site_fract_x
_atom_site_fract_y
_atom_site_fract_z
Pm1 Pm 0.000 0.111 0.250
Th1 Th 0.000 0.370 0.055
Ir1 Ir 0.000 0.152 0.750
N1 N 0.000 0.000 0.000
N2 N 0.000 0.278 0.624
N3 N 0.000 0.456 0.250
# total magnetic moment	0.0	μB per formula unit
# formation energy without anion corrections	-1041	meV per atom
# energy	-8.760	eV per atom

=====

No. 2
# PrIrN (GGA-PBE, optimized geometry)
data_PrIrN
_chemical_formula_sum 'Pr1 Ir1 N1'
_space_group_name_H-M_alt 'P 3 m 1'
_space_group_IT_number 156
_cell_length_a 3.7427
_cell_length_b 3.7427
_cell_length_c 4.2420
_cell_angle_alpha 90.00
_cell_angle_beta 90.00
_cell_angle_gamma 120.00
loop_
_space_group_symop_operation_xyz
'x,y,z'
'-y,x-y,z'
'-x+y,-x,z'
'-y,-x,z'
'-x+y,y,z'
'x,x-y,z'
loop_
_atom_site_label
_atom_site_type_symbol
_atom_site_fract_x
_atom_site_fract_y
_atom_site_fract_z
Pr1 Pr 0.0000 0.0000 0.0000
Ir1 Ir 0.6667 0.3333 0.4671
N1 N 0.3333 0.6667 0.3704
# total magnetic moment	0.0	μB per formula unit
# formation energy without anion corrections	-57	meV per atom
# energy	-7.379	eV per atom

=====

No. 3
# PrIrN (GGA-PBE, optimized geometry)
data_PrIrN
_chemical_formula_sum 'Pr4 Ir4 N4'
_space_group_name_H-M_alt 'I m m a'
_space_group_IT_number 74
_space_group_name_Hall '-I 2b 2'
_cell_length_a 3.581
_cell_length_b 5.348
_cell_length_c 10.535
_cell_angle_alpha 90.00
_cell_angle_beta 90.00
_cell_angle_gamma 90.00
loop_
_atom_site_label
_atom_site_type_symbol
_atom_site_fract_x
_atom_site_fract_y
_atom_site_fract_z
Pr1 Pr 0.000 0.250 0.105
Ir1 Ir 0.000 0.250 0.660
N1 N 0.000 0.000 0.500
# total magnetic moment	0.0	μB per formula unit
# formation energy without anion corrections	-396	meV per atom
# energy	-7.718	eV per atom

=====

No. 4
# Pr2IrN (GGA-PBE, optimized geometry)
data_Pr2IrN
_chemical_formula_sum 'Pr6 Ir3 N3'
_space_group_name_H-M_alt 'R -3 m'
_space_group_IT_number 166
_space_group_name_Hall '-R 3 2"'
_cell_length_a 3.8426
_cell_length_b 3.8426
_cell_length_c 20.2838
_cell_angle_alpha 90.00
_cell_angle_beta 90.00
_cell_angle_gamma 120.00
loop_
_atom_site_label
_atom_site_type_symbol
_atom_site_fract_x
_atom_site_fract_y
_atom_site_fract_z
Pr1 Pr 0.0000 0.0000 0.2391
Ir1 Ir 0.0000 0.0000 0.0000
N1 N 0.0000 0.0000 0.5000
# total magnetic moment	0.0	μB per formula unit
# formation energy without anion corrections	-669	meV per atom
# energy	-7.356	eV per atom

=====

No. 5
# Pr4Ir2N (GGA-PBE, optimized geometry)
data_Pr4Ir2N
_chemical_formula_sum 'Pr8 Ir4 N2'
_space_group_name_H-M_alt 'I 4/m m m'
_space_group_IT_number 139
_space_group_name_Hall '-I 4 2'
_cell_length_a 4.887
_cell_length_b 4.887
_cell_length_c 14.658
_cell_angle_alpha 90.00
_cell_angle_beta 90.00
_cell_angle_gamma 90.00
loop_
_atom_site_label
_atom_site_type_symbol
_atom_site_fract_x
_atom_site_fract_y
_atom_site_fract_z
Pr1 Pr 0.000 0.000 0.181
Pr2 Pr 0.000 0.500 0.000
Ir1 Ir 0.000 0.000 0.370
N1 N 0.000 0.000 0.000
# total magnetic moment	0.0	μB per formula unit
# formation energy without anion corrections	-560	meV per atom
# energy	-7.013	eV per atom

=====

No. 6
# Pr6Ir2N (GGA-PBE, optimized geometry)
data_Pr6Ir2N
_chemical_formula_sum 'Pr12 Ir4 N2'
_space_group_name_H-M_alt 'P 1 21/c 1'
_space_group_IT_number 14
_cell_length_a 6.689
_cell_length_b 7.386
_cell_length_c 11.779
_cell_angle_alpha 90.00
_cell_angle_beta 122.57
_cell_angle_gamma 90.00
loop_
_space_group_symop_operation_xyz
'x,y,z'
'-x,-y,-z'
'-x,y+1/2,-z+1/2'
'x,-y+1/2,z+1/2'
loop_
_atom_site_label
_atom_site_type_symbol
_atom_site_fract_x
_atom_site_fract_y
_atom_site_fract_z
Pr1 Pr 0.111 0.042 0.240
Pr2 Pr 0.238 0.689 0.066
Pr3 Pr 0.370 0.169 0.060
Ir1 Ir 0.305 0.103 0.758
N1 N 0.000 0.000 0.000
# total magnetic moment	0.0	μB per formula unit
# formation energy without anion corrections	-639	meV per atom
# energy	-6.720	eV per atom

=====

No. 7
# PrSiIrN (GGA-PBE, optimized geometry)
data_PrSiIrN
_chemical_formula_sum 'Pr2 Si2 Ir2 N2'
_space_group_name_H-M_alt 'P 4/n m m'
_space_group_IT_number 129
_cell_length_a 4.018
_cell_length_b 4.018
_cell_length_c 8.194
_cell_angle_alpha 90.00
_cell_angle_beta 90.00
_cell_angle_gamma 90.00
loop_
_space_group_symop_operation_xyz
'x,y,z'
'-x,-y,-z'
'-y+1/2,x,z'
'y+1/2,-x,-z'
'-x+1/2,-y+1/2,z'
'x+1/2,y+1/2,-z'
'y,-x+1/2,z'
'-y,x+1/2,-z'
'x+1/2,-y,-z'
'-x+1/2,y,z'
'-y,-x,-z'
'y,x,z'
'-x,y+1/2,-z'
'x,-y+1/2,z'
'y+1/2,x+1/2,-z'
'-y+1/2,-x+1/2,z'
loop_
_atom_site_label
_atom_site_type_symbol
_atom_site_fract_x
_atom_site_fract_y
_atom_site_fract_z
Pr1 Pr 0.250 0.250 0.162
Si1 Si 0.250 0.250 0.656
Ir1 Ir 0.250 0.750 0.500
N1 N 0.250 0.250 0.869
# total magnetic moment	0.0	μB per formula unit
# formation energy without anion corrections	-1190	meV per atom
# energy	-8.037	eV per atom

=====

No. 8
# Tb2PrIrN4 (GGA-PBE, optimized geometry)
data_Tb2PrIrN4
_chemical_formula_sum 'Tb8 Pr4 Ir4 N16'
_space_group_name_H-M_alt 'C m c m'
_space_group_IT_number 63
_space_group_name_Hall '-C 2c 2'
_cell_length_a 3.446
_cell_length_b 11.878
_cell_length_c 11.666
_cell_angle_alpha 90.00
_cell_angle_beta 90.00
_cell_angle_gamma 90.00
loop_
_atom_site_label
_atom_site_type_symbol
_atom_site_fract_x
_atom_site_fract_y
_atom_site_fract_z
Tb1 Tb 0.000 0.130 0.044
Pr1 Pr 0.000 0.386 0.250
Ir1 Ir 0.000 0.354 0.750
N1 N 0.000 0.051 0.250
N2 N 0.000 0.230 0.628
N3 N 0.000 0.500 0.000
# total magnetic moment	0.0	μB per formula unit
# formation energy without anion corrections	-910	meV per atom
# energy	-7.935	eV per atom

=====

No. 9
# Pr3TeIrN (GGA-PBE, optimized geometry)
data_Pr3TeIrN
_chemical_formula_sum 'Pr6 Te2 Ir2 N2'
_space_group_name_H-M_alt 'P 1 21/m 1'
_space_group_IT_number 11
_cell_length_a 9.220
_cell_length_b 4.184
_cell_length_c 9.642
_cell_angle_alpha 90.00
_cell_angle_beta 102.62
_cell_angle_gamma 90.00
loop_
_space_group_symop_operation_xyz
'x,y,z'
'-x,-y,-z'
'-x,y+1/2,-z'
'x,-y+1/2,z'
loop_
_atom_site_label
_atom_site_type_symbol
_atom_site_fract_x
_atom_site_fract_y
_atom_site_fract_z
Pr1 Pr 0.073 0.250 0.367
Pr2 Pr 0.340 0.250 0.987
Pr3 Pr 0.371 0.750 0.658
Te1 Te 0.326 0.750 0.283
Ir1 Ir 0.151 0.250 0.663
N1 N 0.412 0.750 0.900
# total magnetic moment	0.0	μB per formula unit
# formation energy without anion corrections	-1009	meV per atom
# energy	-6.787	eV per atom

=====

No. 10
# PrTh2IrN4 (GGA-PBE, optimized geometry)
data_PrTh2IrN4
_chemical_formula_sum 'Pr4 Th8 Ir4 N16'
_space_group_name_H-M_alt 'C m c m'
_space_group_IT_number 63
_space_group_name_Hall '-C 2c 2'
_cell_length_a 3.486
_cell_length_b 12.232
_cell_length_c 12.143
_cell_angle_alpha 90.00
_cell_angle_beta 90.00
_cell_angle_gamma 90.00
loop_
_atom_site_label
_atom_site_type_symbol
_atom_site_fract_x
_atom_site_fract_y
_atom_site_fract_z
Pr1 Pr 0.000 0.110 0.250
Th1 Th 0.000 0.370 0.054
Ir1 Ir 0.000 0.153 0.750
N1 N 0.000 0.000 0.000
N2 N 0.000 0.276 0.622
N3 N 0.000 0.453 0.250
# total magnetic moment	0.0	μB per formula unit
# formation energy without anion corrections	-1038	meV per atom
# energy	-8.761	eV per atom

=====

No. 11
# Ir3PtN (GGA-PBE, optimized geometry)
data_Ir3PtN
_chemical_formula_sum 'Ir3 Pt1 N1'
_space_group_name_H-M_alt 'P m -3 m'
_space_group_IT_number 221
_space_group_name_Hall '-P 4 2 3'
_cell_length_a 4.780
_cell_length_b 4.780
_cell_length_c 4.780
_cell_angle_alpha 90.00
_cell_angle_beta 90.00
_cell_angle_gamma 90.00
loop_
_atom_site_label
_atom_site_type_symbol
_atom_site_fract_x
_atom_site_fract_y
_atom_site_fract_z
Ir1 Ir 0.000 0.000 0.500
Pt1 Pt 0.000 0.000 0.000
N1 N 0.500 0.500 0.500
# total magnetic moment	0.0	μB per formula unit
# formation energy without anion corrections	3336	meV per atom
# distance to the lowest polymorph of the same formula	2645	meV per atom
# energy	-4.853	eV per atom

=====

No. 12
# Ir3PtN (GGA-PBE, optimized geometry)
data_Ir3PtN
_chemical_formula_sum 'Ir3 Pt1 N1'
_space_group_name_H-M_alt 'P m -3 m'
_space_group_IT_number 221
_space_group_name_Hall '-P 4 2 3'
_cell_length_a 4.097
_cell_length_b 4.097
_cell_length_c 4.097
_cell_angle_alpha 90.00
_cell_angle_beta 90.00
_cell_angle_gamma 90.00
loop_
_atom_site_label
_atom_site_type_symbol
_atom_site_fract_x
_atom_site_fract_y
_atom_site_fract_z
Ir1 Ir 0.000 0.000 0.500
Pt1 Pt 0.500 0.500 0.500
N1 N 0.000 0.000 0.000
# total magnetic moment	0.0	μB per formula unit
# formation energy without anion corrections	692	meV per atom
# distance to the lowest polymorph of the same formula	0	meV per atom
# energy	-7.498	eV per atom